A plane-wave DFT calculation with PBE was carried out for a relaxed structure of PmGa4CoCu2.

## Properties
Fermi-level density of states, states/eV per cell: 4.5
Electronic total energy, eV/atom: -4.3225

Unit cell a=9.1435 b=9.1435 c=9.1435 alpha=26.21 beta=26.21 gamma=26.21
Last column: nearest neighbours and their distance in Å.
Element x y z (fractional)
Pm (0.0000, 0.0000, 0.0000)  6 Ga 3.05
Ga (0.1338, 0.1338, 0.1338)  3 Co 2.55, 4 Cu 2.57-2.67
Ga (0.4048, 0.4048, 0.4048)  3 Cu 2.50, 1 Co 2.52
Ga (0.5952, 0.5952, 0.5952)  3 Cu 2.50, 1 Co 2.52
Ga (0.8662, 0.8662, 0.8662)  3 Co 2.55, 4 Cu 2.57-2.67
Co (0.5000, 0.5000, 0.5000)  8 Ga 2.52-2.55
Cu (0.2347, 0.2347, 0.2347)  7 Ga 2.50-2.67
Cu (0.7653, 0.7653, 0.7653)  7 Ga 2.50-2.67

A plane-wave DFT calculation with PBE was carried out for a relaxed structure of Pm2Ga4Co3Cu.

## Properties
Fermi-level density of states, states/eV per cell: 9.5
Electronic total energy, eV/atom: -5.0773

Unit cell a=4.1723 b=4.1723 c=9.8200 alpha=90.00 beta=90.00 gamma=90.00
Last column: nearest neighbours and their distance in Å.
Element x y z (fractional)
Pm (0.0000, 0.5000, 0.2474)  8 Ga 3.17-3.24, 6 Co 3.20, 2 Cu 3.20
Pm (0.5000, 0.0000, 0.7526)  8 Ga 3.17-3.24, 6 Co 3.20, 2 Cu 3.20
Ga (0.0000, 0.0000, 0.5000)  4 Co 2.43
Ga (0.0000, 0.5000, 0.8703)  3 Co 2.39-2.44, 2 Cu 2.44
Ga (0.5000, 0.0000, 0.1297)  3 Co 2.39-2.44, 2 Cu 2.44
Ga (0.5000, 0.5000, 0.5000)  4 Co 2.43
Co (0.0000, 0.0000, 0.0000)  4 Ga 2.44
Co (0.0000, 0.5000, 0.6272)  5 Ga 2.39-2.43
Co (0.5000, 0.0000, 0.3728)  5 Ga 2.39-2.43
Cu (0.5000, 0.5000, 0.0000)  4 Ga 2.44

A plane-wave DFT calculation with PBE was carried out for a relaxed structure of Pr2Ga4CoCu3.

## Properties
Fermi-level density of states, states/eV per cell: 6.4
Electronic total energy, eV/atom: -4.5139

Unit cell a=4.2104 b=4.2104 c=10.1832 alpha=90.00 beta=90.00 gamma=90.00
Last column: nearest neighbours and their distance in Å.
Element x y z (fractional)
Pr (0.0000, 0.5000, 0.2430)  8 Ga 3.22-3.36, 6 Cu 3.23-3.25, 2 Co 3.25
Pr (0.5000, 0.0000, 0.7570)  8 Ga 3.22-3.36, 6 Cu 3.23-3.25, 2 Co 3.25
Ga (0.0000, 0.0000, 0.5000)  4 Cu 2.51
Ga (0.0000, 0.5000, 0.8776)  2 Co 2.45, 3 Cu 2.45-2.48
Ga (0.5000, 0.0000, 0.1224)  2 Co 2.45, 3 Cu 2.45-2.48
Ga (0.5000, 0.5000, 0.5000)  4 Cu 2.51
Co (0.5000, 0.5000, 0.0000)  4 Ga 2.45
Cu (0.0000, 0.0000, 0.0000)  4 Ga 2.45
Cu (0.0000, 0.5000, 0.6344)  5 Ga 2.48-2.51
Cu (0.5000, 0.0000, 0.3656)  5 Ga 2.48-2.51

A plane-wave DFT calculation with PBE was carried out for a relaxed structure of Ga2CoCuPt.

## Properties
Fermi-level density of states, states/eV per cell: 6.6
Electronic total energy, eV/atom: -3.9335

Unit cell a=4.4079 b=4.4079 c=4.7371 alpha=90.00 beta=90.00 gamma=90.00
Last column: nearest neighbours and their distance in Å.
Element x y z (fractional)
Ga (0.0000, 0.5000, 0.0000)  2 Cu 2.20
Ga (0.5000, 0.0000, 0.0000)  2 Cu 2.20
Co (0.0000, 0.0000, 0.5000)  4 Pt 3.12, 8 Ga 3.24
Cu (0.5000, 0.5000, 0.0000)  4 Ga 2.20, 2 Pt 2.37
Pt (0.5000, 0.5000, 0.5000)  2 Cu 2.37

A plane-wave DFT calculation with PBE was carried out for a relaxed structure of PuGaCoCu.

## Properties
Fermi-level density of states, states/eV per cell: 9.9
Electronic total energy, eV/atom: -7.1599

Unit cell a=4.5159 b=4.5159 c=4.5159 alpha=60.00 beta=60.00 gamma=60.00
Last column: nearest neighbours and their distance in Å.
Element x y z (fractional)
Pu (0.0000, 0.0000, 0.0000)  4 Cu 2.77, 4 Co 2.77
Ga (0.5000, 0.5000, 0.5000)  4 Cu 2.77, 4 Co 2.77
Co (0.2500, 0.2500, 0.2500)  4 Pu 2.77, 4 Ga 2.77
Cu (0.7500, 0.7500, 0.7500)  4 Pu 2.77, 4 Ga 2.77

A plane-wave DFT calculation with PBE was carried out for a relaxed structure of GaCoCuRh.

## Properties
Fermi-level density of states, states/eV per cell: 5.4
Electronic total energy, eV/atom: -5.5864

Unit cell a=4.1632 b=4.1632 c=4.1632 alpha=60.00 beta=60.00 gamma=60.00
Last column: nearest neighbours and their distance in Å.
Element x y z (fractional)
Ga (0.0000, 0.0000, 0.0000)  4 Rh 2.55, 4 Co 2.55
Co (0.2500, 0.2500, 0.2500)  4 Cu 2.55, 4 Ga 2.55
Cu (0.5000, 0.5000, 0.5000)  4 Rh 2.55, 4 Co 2.55
Rh (0.7500, 0.7500, 0.7500)  4 Cu 2.55, 4 Ga 2.55

A plane-wave DFT calculation with PBE was carried out for a relaxed structure of GaCo2CuRu.

## Properties
Fermi-level density of states, states/eV per cell: 6.6
Electronic total energy, eV/atom: -4.8985

Unit cell a=4.5153 b=4.5153 c=4.6407 alpha=90.00 beta=90.00 gamma=90.00
Last column: nearest neighbours and their distance in Å.
Element x y z (fractional)
Ga (0.0000, 0.0000, 0.0000)  2 Ru 2.32
Co (0.0000, 0.5000, 0.5000)  2 Ru 2.26
Co (0.5000, 0.0000, 0.5000)  2 Ru 2.26
Cu (0.5000, 0.5000, 0.0000)  4 Ga 3.19, 8 Co 3.24
Ru (0.0000, 0.0000, 0.5000)  4 Co 2.26, 2 Ga 2.32

A plane-wave DFT calculation with PBE was carried out for a relaxed structure of GaCo2CuS.

## Properties
Formation energy from raw total energies, eV/atom: 1.173
Fermi-level density of states, states/eV per cell: 8.3

Unit cell a=4.4299 b=4.4299 c=4.6099 alpha=90.00 beta=90.00 gamma=90.00
Last column: nearest neighbours and their distance in Å.
Element x y z (fractional)
Ga (0.0000, 0.0000, 0.0000)  4 Co 2.21, 2 S 2.30
Co (0.0000, 0.5000, 0.0000)  2 Ga 2.21
Co (0.5000, 0.0000, 0.0000)  2 Ga 2.21
Cu (0.5000, 0.5000, 0.5000)  4 S 3.13, 8 Co 3.20
S (0.0000, 0.0000, 0.5000)  2 Ga 2.30